[1]
DFT (PBE-GGA) results for a relaxed Tm4ZrIr3 crystal.

DFT formation energy: -0.80 eV per atom
total magnetization: 0.00 μB per formula unit
SG: I4/mcm, No. 140

Cell lengths 5.9058, 8.2105, 8.2105 Å; angles 82.57, 68.92, 68.92 degrees
Positions (direct):
Tm1 0.4193 0.2930 0.8683
Tm2 0.5807 0.7070 0.1317
Tm3 0.7124 0.8683 0.7070
Tm4 0.0807 0.1317 0.7070
Tm5 0.2876 0.1317 0.2930
Tm6 0.9193 0.8683 0.2930
Tm7 0.7876 0.2930 0.1317
Tm8 0.2124 0.7070 0.8683
Zr1 0.7500 0.5000 0.5000
Zr2 0.2500 0.5000 0.5000
Ir1 0.7500 0.0000 0.0000
Ir2 0.2500 0.0000 0.0000
Ir3 0.3468 0.8064 0.5000
Ir4 0.6532 0.1936 0.5000
Ir5 0.1532 0.5000 0.1936
Ir6 0.8468 0.5000 0.8064

***

[2]
DFT (PBE-GGA) results for a relaxed TeAs2 crystal.

E: -3.810 eV/atom
total magnetization: 0.00 μB per formula unit
SG: P4/mmm, No. 123

Cell lengths 4.0627, 4.0627, 4.6365 Å; angles 90.00, 90.00, 90.00 degrees
Positions (direct):
As1 0.0000 0.5000 0.5000
As2 0.5000 0.0000 0.5000
Te1 0.0000 0.0000 0.0000

***

[3]
DFT (PBE-GGA) results for a relaxed LiCaHg crystal.

DFT formation energy: -0.22 eV per atom
total magnetization: 0.00 μB per formula unit
SG: F-43m, No. 216

Cell lengths 5.0148, 5.0148, 5.0148 Å; angles 60.00, 60.00, 60.00 degrees
Positions (direct):
Ca1 0.5000 0.5000 0.5000
Hg1 0.2500 0.2500 0.2500
Li1 0.0000 0.0000 0.0000

***

[4]
DFT (PBE-GGA) results for a relaxed ZnInSnCl5 crystal.

E: -3.162 eV/atom
total magnetization: 0.00 μB per formula unit
SG: C2/c, No. 15

Cell lengths 7.6259, 7.6259, 10.0941 Å; angles 104.35, 104.35, 105.97 degrees
Positions (direct):
Zn1 0.6837 0.3163 0.2500
Zn2 0.3163 0.6837 0.7500
In1 0.3440 0.6560 0.2500
In2 0.6560 0.3440 0.7500
Sn1 0.0000 0.0000 0.5000
Sn2 0.0000 0.0000 0.0000
Cl1 0.0949 0.9051 0.2500
Cl2 0.9051 0.0949 0.7500
Cl3 0.9115 0.3339 0.1360
Cl4 0.0885 0.6661 0.8640
Cl5 0.6661 0.0885 0.3640
Cl6 0.3339 0.9115 0.6360
Cl7 0.7457 0.6024 0.4298
Cl8 0.2543 0.3976 0.5702
Cl9 0.3976 0.2543 0.0702
Cl10 0.6024 0.7457 0.9298